## AcNd2Pb2 (PBE)

Data for a relaxed structure of AcNd2Pb2.

Output
energy of formation from the pure elements: -189 kJ/mol of formula units
DOS at the Fermi energy: 1.0501 states/eV/atom
volume: 34.98 A^3/atom

a = 6.8872 Å, b = 6.8804 Å, c = 8.1341 Å
α = 90.00°, β = 114.85°, γ = 90.00°
Space group C2/m (No. 12)
Unique sites:
Ac 0.0000 0.0000 0.0000 (multiplicity 2)
Nd 0.0000 0.2501 0.5000 (multiplicity 4)
Pb 0.1031 0.5000 0.2031 (multiplicity 4)